A plane-wave DFT calculation with GGA+U was carried out for BaP2WO after structural relaxation.

Values from the calculation:
Total magnetization ... 0.020 μB/atom
E_tot ... -5.714 eV per atom
Density of states at the Fermi level ... 0.9 states/eV/cell
Offset from the most stable computed form ... 0.00 kcal/mol of atoms

```
data_BaP2WO
_chemical_formula_sum 'Ba1 P2 W1 O1'
_cell_length_a 4.974
_cell_length_b 4.974
_cell_length_c 4.027
_cell_angle_alpha 90.00
_cell_angle_beta 90.00
_cell_angle_gamma 90.00
_space_group_name_H-M_alt 'P 4/m m m'
_space_group_IT_number 123
_space_group_name_Hall '-P 4 2'
loop_
_atom_site_label
_atom_site_fract_x
_atom_site_fract_y
_atom_site_fract_z
Ba1 0.000 0.000 0.000
P1 0.000 0.500 0.500
W1 0.500 0.500 0.500
O1 0.500 0.500 0.000
```

A plane-wave DFT calculation with GGA+U was carried out for BaPWO2 after structural relaxation.

Values from the calculation:
Total magnetization ... 0.537 μB/atom
E_tot ... -4.412 eV per atom
Density of states at the Fermi level ... 2.6 states/eV/cell
Offset from the most stable computed form ... 42.02 kcal/mol of atoms

```
data_BaPWO2
_chemical_formula_sum 'Ba1 P1 W1 O2'
_cell_length_a 4.333
_cell_length_b 4.333
_cell_length_c 7.019
_cell_angle_alpha 90.00
_cell_angle_beta 90.00
_cell_angle_gamma 90.00
_space_group_name_H-M_alt 'P 4/m m m'
_space_group_IT_number 123
_space_group_name_Hall '-P 4 2'
loop_
_atom_site_label
_atom_site_fract_x
_atom_site_fract_y
_atom_site_fract_z
Ba1 0.000 0.000 0.000
P1 0.000 0.000 0.500
W1 0.500 0.500 0.500
O1 0.000 0.500 0.000
```

A plane-wave DFT calculation with GGA+U was carried out for BaPWO2 after structural relaxation.

Values from the calculation:
Total magnetization ... 0.206 μB/atom
E_tot ... -6.234 eV per atom
Density of states at the Fermi level ... 2.3 states/eV/cell
Offset from the most stable computed form ... 0.00 kcal/mol of atoms

```
data_BaPWO2
_chemical_formula_sum 'Ba1 P1 W1 O2'
_cell_length_a 4.217
_cell_length_b 4.217
_cell_length_c 4.954
_cell_angle_alpha 90.00
_cell_angle_beta 90.00
_cell_angle_gamma 90.00
_space_group_name_H-M_alt 'P 4/m m m'
_space_group_IT_number 123
_space_group_name_Hall '-P 4 2'
loop_
_atom_site_label
_atom_site_fract_x
_atom_site_fract_y
_atom_site_fract_z
Ba1 0.000 0.000 0.000
P1 0.500 0.500 0.000
W1 0.500 0.500 0.500
O1 0.000 0.500 0.500
```

Among the records above, which one has the lowest density of states at the Fermi level? BaP2WO